A:
CuGe3Cl (PBE, optimized geometry); V = 22.04 Å³/atom
1.0
4.7942 0.0000 0.0000
0.0000 4.7942 0.0000
0.0000 0.0000 4.7942
Cu Ge Cl
1 3 1
Cartesian
0.0000 0.0000 0.0000
0.0000 0.0000 2.3971
0.0000 2.3971 0.0000
2.3971 0.0000 0.0000
2.3971 2.3971 2.3971

B:
CuGe3Cl (PBE, optimized geometry); V = 23.95 Å³/atom
1.0
4.9288 0.0000 0.0000
0.0000 4.9288 0.0000
0.0000 0.0000 4.9288
Cu Ge Cl
1 3 1
Cartesian
0.0000 0.0000 0.0000
0.0000 2.4644 2.4644
2.4644 0.0000 2.4644
2.4644 2.4644 0.0000
2.4644 2.4644 2.4644

Stability summary - winner: A; margin: 590 meV per atom.

A:
CuGeCl (PBE, optimized geometry); V = 19.56 Å³/atom
1.0
3.8423 0.0000 0.0000
-0.0003 5.4507 0.0000
-1.9011 -0.1421 5.6027
Cu Ge Cl
2 2 2
Cartesian
0.0000 0.0000 0.0000
0.0245 2.3391 3.0131
0.0311 0.0072 3.8956
1.9460 3.4145 4.0254
0.0061 2.2551 0.6695
1.9155 5.0078 1.4408

B:
CuGeCl (PBE, optimized geometry); V = 23.29 Å³/atom
1.0
4.2538 0.0000 0.0000
-0.3163 4.5910 0.0000
-0.0085 -0.0006 7.1547
Cu Ge Cl
2 2 2
Cartesian
0.0000 0.0000 0.0000
1.8399 3.0672 7.1528
2.1669 0.4946 1.3915
3.9371 2.5679 1.3863
0.9182 1.5305 5.7317
2.8951 3.8243 3.2657

Stability summary - winner: B; margin: 31 meV per atom.

A:
CuGePCl2 (PBE, optimized geometry); V = 22.97 Å³/atom
1.0
4.6007 0.0000 0.0000
0.0000 4.6007 0.0000
0.0000 0.0000 5.4251
Cu Ge P Cl
1 1 1 2
Cartesian
0.0000 0.0000 0.0000
2.3004 2.3004 0.0000
2.3004 2.3004 2.7125
0.0000 2.3004 2.7125
2.3004 0.0000 2.7125

B:
CuGePCl2 (PBE, optimized geometry); V = 20.44 Å³/atom
1.0
4.5511 0.0000 0.0000
0.0000 4.5511 0.0000
0.0000 0.0000 4.9330
Cu Ge P Cl
1 1 1 2
Cartesian
0.0000 0.0000 0.0000
2.2756 2.2756 2.4665
0.0000 0.0000 2.4665
0.0000 2.2756 0.0000
2.2756 0.0000 0.0000

Stability summary - winner: B; margin: 220 meV per atom.